Entry 1:
Here is AsNCl3 after structural relaxation from Alexandria via LeMat-Bulk. Energies are from GGA-PBEsol.

abc: 4.8894 4.8894 4.8894
angles: 90.00 90.00 90.00
With the nearest neighbours (Å) after each atom.
Space group Pm-3m (No. 221)
Symmetry-distinct sites (fractional):
As1 0.0000 0.0000 0.0000 [1 per cell]  6 Cl 2.44
N1 0.5000 0.5000 0.5000 [1 per cell]  12 Cl 3.46
Cl1 0.0000 0.0000 0.5000 [3 per cell]  2 As 2.44

Properties
**Calculated volume**: 116.88 Å³/cell
**Density of states at the Fermi level**: 0.03 states/eV/f.u.
**Mass density**: 2.77 Mg/m³
**Magnetic moment**: 3.0 Bohr magnetons per cell
**Crystal system**: cubic
**ΔE_f (raw)**: 648 meV/atom

***

Entry 2:
Here is Be2CoSi after structural relaxation from Alexandria via LeMat-Bulk. Energies are from GGA-PBEsol.

abc: 2.8020 2.8020 4.7883
angles: 90.00 90.00 90.00
With the nearest neighbours (Å) after each atom.
Space group P4mm (No. 99)
Symmetry-distinct sites (fractional):
Be1 0.0000 0.0000 0.0000 [1 per cell]  4 Be 2.24, 2 Co 2.29-2.50, 4 Si 2.38
Be2 0.5000 0.5000 0.2188 [1 per cell]  4 Be 2.24, 4 Co 2.34, 2 Si 2.37-2.41
Co1 0.0000 0.0000 0.4775 [1 per cell]  6 Be 2.29-2.50, 4 Si 2.30
Si1 0.5000 0.5000 0.7229 [1 per cell]  4 Co 2.30, 6 Be 2.37-2.41

Properties
**Calculated volume**: 37.59 Å³/cell
**Density of states at the Fermi level**: 1.78 states/eV/f.u.
**Mass density**: 4.64 Mg/m³
**Magnetic moment**: 0.3 Bohr magnetons per cell
**Crystal system**: tetragonal
**ΔE_f (raw)**: -259 meV/atom